(1)
The following is a DFT calculation (PBE-GGA) of a relaxed structure of Y2AuSe2.

The space group is I4/mmm (No. 139) and the conventional cell measures 5.209, 5.209 and 10.382 Å, with angles of 90.00, 90.00 and 90.00 degrees. The inequivalent atoms are Y at (0.000, 0.500, 0.250), Au at (0.000, 0.000, 0.000) and Se at (0.000, 0.000, 0.346).

As for the energy above the lowest structure with this stoichiometry: 0.2302 eV per atom. The crystal system is tetragonal. Its formation energy (no corrections) is -1.1092 eV per atom.


(2)
The following is a DFT calculation (PBE-GGA) of a relaxed structure of Hg2RhPb3.

The space group is C2/m (No. 12) and the conventional cell measures 7.664, 10.333 and 8.456 Å, with angles of 90.00, 97.53 and 90.00 degrees. The inequivalent atoms are Hg at (0.000, 0.000, 0.000), Hg at (0.000, 0.146, 0.500), Hg at (0.000, 0.500, 0.500), Rh at (0.000, 0.272, 0.000), Pb at (0.150, 0.500, 0.163) and Pb at (0.227, 0.316, 0.774).

The crystal system is monoclinic. Its energy relative to the elements is 0.01 eV/atom.


(3)
The following is a DFT calculation (PBE-GGA) of a relaxed structure of BaCd5Hg8.

The space group is I-4 (No. 82) and the conventional cell measures 10.780, 10.780 and 6.365 Å, with angles of 90.00, 90.00 and 90.00 degrees. The inequivalent atoms are Ba at (0.000, 0.000, 0.000), Cd at (0.000, 0.500, 0.750), Cd at (0.239, 0.249, 0.806), Hg at (0.007, 0.207, 0.558) and Hg at (0.012, 0.325, 0.101).

The crystal system is tetragonal. Its energy relative to the elements is -0.12 eV/atom.


(4)
The following is a DFT calculation (PBE-GGA) of a relaxed structure of CaIn2SnPb.

The space group is Cmcm (No. 63) and the conventional cell measures 3.513, 19.789 and 8.829 Å, with angles of 90.00, 90.00 and 90.00 degrees. The inequivalent atoms are Ca at (0.000, 0.094, 0.250), In at (0.000, 0.340, 0.063), Sn at (0.000, 0.260, 0.750) and Pb at (0.000, 0.500, 0.000).

The crystal system is orthorhombic. Its energy relative to the elements is -0.13 eV/atom.


(5)
The following is a DFT calculation (PBE-GGA) of a relaxed structure of LiGa2Pb.

The space group is Pmm2 (No. 25) and the conventional cell measures 3.426, 3.766 and 6.599 Å, with angles of 90.00, 90.00 and 90.00 degrees. The inequivalent atoms are Li at (0.000, 0.000, 0.000), Ga at (0.000, 0.000, 0.422), Ga at (0.500, 0.500, 0.225) and Pb at (0.500, 0.500, 0.713).

The crystal system is orthorhombic. Its energy relative to the elements is -0.09 eV/atom.


(6)
The following is a DFT calculation (PBE-GGA) of a relaxed structure of La2CeNd.

The space group is R3m (No. 160, hexagonal axes) and the conventional cell measures 3.6539, 3.6539 and 35.8445 Å, with angles of 90.00, 90.00 and 120.00 degrees. The inequivalent atoms are La at (0.0000, 0.0000, 0.0000), La at (0.0000, 0.0000, 0.1617), Ce at (0.0000, 0.0000, 0.7474) and Nd at (0.0000, 0.0000, 0.5793).

As for the energy above the lowest structure with this stoichiometry: 0.0222 eV per atom. The crystal system is trigonal. Its energy relative to the elements is 0.07 eV/atom.


(7)
The following is a DFT calculation (PBE-GGA) of a relaxed structure of Hf2MnIr.

The space group is P4/mmm (No. 123) and the conventional cell measures 4.514, 4.514 and 3.278 Å, with angles of 90.00, 90.00 and 90.00 degrees. The inequivalent atoms are Hf at (0.000, 0.500, 0.000), Mn at (0.000, 0.000, 0.500) and Ir at (0.500, 0.500, 0.500).

As for the energy above the lowest structure with this stoichiometry: 0.0166 eV per atom. The crystal system is tetragonal. Its energy relative to the elements is -0.62 eV/atom.


(8)
The following is a DFT calculation (PBE-GGA) of a relaxed structure of Si2TePbC.

The space group is P4/mmm (No. 123) and the conventional cell measures 4.305, 4.305 and 5.583 Å, with angles of 90.00, 90.00 and 90.00 degrees. The inequivalent atoms are Si at (0.000, 0.500, 0.000), Te at (0.000, 0.000, 0.500), Pb at (0.500, 0.500, 0.500) and C at (0.500, 0.500, 0.000).

The crystal system is tetragonal. Its formation energy (no corrections) is 0.9444 eV per atom.


(9)
The following is a DFT calculation (PBE-GGA) of a relaxed structure of NpAl5Zn7.

The space group is Imm2 (No. 44) and the conventional cell measures 5.513, 8.939 and 8.791 Å, with angles of 90.00, 90.00 and 90.00 degrees. The inequivalent atoms are Np at (0.000, 0.000, 0.000), Al at (0.000, 0.500, 0.712), Al at (0.249, 0.254, 0.245), Zn at (0.000, 0.000, 0.349), Zn at (0.000, 0.000, 0.643), Zn at (0.000, 0.285, 0.496), Zn at (0.000, 0.354, 0.993) and Zn at (0.000, 0.500, 0.284).

The crystal system is orthorhombic. Its energy relative to the elements is -0.03 eV/atom.


(10)
The following is a DFT calculation (PBE-GGA) of a relaxed structure of Sm2Dy6Zn.

The space group is Pnnm (No. 58) and the conventional cell measures 9.800, 10.197 and 5.400 Å, with angles of 90.00, 90.00 and 90.00 degrees. The inequivalent atoms are Sm at (0.192, 0.245, 0.000), Dy at (0.019, 0.313, 0.500), Dy at (0.133, 0.895, 0.000), Dy at (0.189, 0.570, 0.000) and Zn at (0.000, 0.000, 0.500).

The crystal system is orthorhombic. Its energy relative to the elements is 0.03 eV/atom.


(11)
The following is a DFT calculation (PBE-GGA) of a relaxed structure of TiGa2Fe.

The space group is P4/mmm (No. 123) and the conventional cell measures 3.837, 3.837 and 3.914 Å, with angles of 90.00, 90.00 and 90.00 degrees. The inequivalent atoms are Ti at (0.000, 0.000, 0.000), Ga at (0.000, 0.500, 0.500) and Fe at (0.500, 0.500, 0.000).

The crystal system is tetragonal. Its energy relative to the elements is -0.30 eV/atom.


(12)
The following is a DFT calculation (PBE-GGA) of a relaxed structure of Li2ReW.

The space group is Cm (No. 8) and the conventional cell measures 9.029, 2.533 and 5.369 Å, with angles of 90.00, 92.57 and 90.00 degrees. The inequivalent atoms are Li at (0.000, 0.000, 0.000), Li at (0.247, 0.000, 0.779), Re at (0.002, 0.500, 0.494) and W at (0.249, 0.500, 0.294).

As for the energy above the lowest structure with this stoichiometry: 0.1591 eV per atom. The crystal system is monoclinic. Its energy relative to the elements is 0.39 eV/atom.


(13)
The following is a DFT calculation (PBE-GGA) of a relaxed structure of K2BiS.

The space group is I-42d (No. 122) and the conventional cell measures 10.978, 10.978 and 5.635 Å, with angles of 90.00, 90.00 and 90.00 degrees. The inequivalent atoms are K at (0.108, 0.250, 0.125), Bi at (0.000, 0.000, 0.500) and S at (0.000, 0.000, 0.000).

As for the energy above the lowest structure with this stoichiometry: 0.0000 eV per atom. The crystal system is tetragonal. Its formation energy (no corrections) is -0.4415 eV per atom.


(14)
The following is a DFT calculation (PBE-GGA) of a relaxed structure of Ba2Ce2O5.

The space group is Pbam (No. 55) and the conventional cell measures 6.304, 12.809 and 4.455 Å, with angles of 90.00, 90.00 and 90.00 degrees. The inequivalent atoms are Ba at (0.247, 0.106, 0.000), Ce at (0.247, 0.863, 0.500), O at (0.000, 0.500, 0.500), O at (0.090, 0.209, 0.500) and O at (0.190, 0.899, 0.000).

The crystal system is orthorhombic. Its formation energy (no corrections) is -2.9612 eV per atom.


(15)
The following is a DFT calculation (PBE-GGA) of a relaxed structure of Dy2PuOs.

The space group is P4/mmm (No. 123) and the conventional cell measures 3.392, 3.392 and 8.857 Å, with angles of 90.00, 90.00 and 90.00 degrees. The inequivalent atoms are Dy at (0.000, 0.000, 0.188), Pu at (0.500, 0.500, 0.500) and Os at (0.500, 0.500, 0.000).

As for the energy above the lowest structure with this stoichiometry: 0.0000 eV per atom. The crystal system is tetragonal. Its energy relative to the elements is -0.04 eV/atom.


(16)
The following is a DFT calculation (PBE-GGA) of a relaxed structure of Ba2CdSn3.

The space group is Cm (No. 8) and the conventional cell measures 13.240, 4.940 and 8.426 Å, with angles of 90.00, 129.09 and 90.00 degrees. The inequivalent atoms are Ba at (0.000, 0.000, 0.000), Ba at (0.004, 0.500, 0.514), Cd at (0.259, 0.500, 0.434), Sn at (0.217, 0.500, 0.057), Sn at (0.223, 0.000, 0.561) and Sn at (0.302, 0.000, 0.974).

As for the energy above the lowest structure with this stoichiometry: 0.0000 eV per atom. The crystal system is monoclinic. Its energy relative to the elements is -0.55 eV/atom.


(17)
The following is a DFT calculation (PBE-GGA) of a relaxed structure of KAlO2F.

The space group is P4/mmm (No. 123) and the conventional cell measures 3.714, 3.714 and 4.255 Å, with angles of 90.00, 90.00 and 90.00 degrees. The inequivalent atoms are K at (0.000, 0.000, 0.000), Al at (0.500, 0.500, 0.500), O at (0.000, 0.500, 0.500) and F at (0.500, 0.500, 0.000).

The crystal system is tetragonal. Its formation energy (no corrections) is -2.3198 eV per atom.


(18)
The following is a DFT calculation (PBE-GGA) of a relaxed structure of CrFeMo2.

The space group is P4/mmm (No. 123) and the conventional cell measures 3.031, 3.031 and 5.970 Å, with angles of 90.00, 90.00 and 90.00 degrees. The inequivalent atoms are Cr at (0.000, 0.000, 0.000), Fe at (0.000, 0.000, 0.500) and Mo at (0.500, 0.500, 0.247).

As for the energy above the lowest structure with this stoichiometry: 0.0203 eV per atom. The crystal system is tetragonal. Its energy relative to the elements is 0.12 eV/atom.


(19)
The following is a DFT calculation (PBE-GGA) of a relaxed structure of TcHOs2Ru.

The space group is P4/mmm (No. 123) and the conventional cell measures 3.892, 3.892 and 3.913 Å, with angles of 90.00, 90.00 and 90.00 degrees. The inequivalent atoms are Tc at (0.000, 0.000, 0.000), H at (0.000, 0.000, 0.500), Os at (0.000, 0.500, 0.500) and Ru at (0.500, 0.500, 0.000).

As for the energy above the lowest structure with this stoichiometry: 0.0065 eV per atom. The crystal system is tetragonal.


(20)
The following is a DFT calculation (PBE-GGA) of a relaxed structure of PmHgAsO4.

The space group is C2/m (No. 12) and the conventional cell measures 11.450, 6.703 and 6.937 Å, with angles of 90.00, 102.20 and 90.00 degrees. The inequivalent atoms are Pm at (0.210, 0.000, 0.336), Hg at (0.026, 0.500, 0.237), As at (0.141, 0.000, 0.771), O at (0.010, 0.000, 0.250), O at (0.184, 0.195, 0.635) and O at (0.216, 0.000, 0.009).

The crystal system is monoclinic. Its formation energy (no corrections) is -1.8971 eV per atom.


(21)
The following is a DFT calculation (PBE-GGA) of a relaxed structure of SrLaSe2.

The space group is P6_3/mmc (No. 194) and the conventional cell measures 4.3114, 4.3114 and 14.7544 Å, with angles of 90.00, 90.00 and 120.00 degrees. The inequivalent atoms are Sr at (0.3333, 0.6667, 0.2500), La at (0.0000, 0.0000, 0.0000) and Se at (0.3333, 0.6667, 0.6203).

As for the energy above the lowest structure with this stoichiometry: 0.0438 eV per atom. The crystal system is hexagonal. Its formation energy (no corrections) is -1.9566 eV per atom.


(22)
The following is a DFT calculation (PBE-GGA) of a relaxed structure of Ta2TcH.

The space group is R-3m (No. 166, hexagonal axes) and the conventional cell measures 2.9921, 2.9921 and 20.6074 Å, with angles of 90.00, 90.00 and 120.00 degrees. The inequivalent atoms are Ta at (0.0000, 0.0000, 0.2307), Tc at (0.0000, 0.0000, 0.0000) and H at (0.0000, 0.0000, 0.5000).

As for the energy above the lowest structure with this stoichiometry: 0.0000 eV per atom. The crystal system is trigonal.


(23)
The following is a DFT calculation (PBE-GGA) of a relaxed structure of Ag2W2Se.

The space group is I4/mmm (No. 139) and the conventional cell measures 3.599, 3.599 and 15.198 Å, with angles of 90.00, 90.00 and 90.00 degrees. The inequivalent atoms are Ag at (0.000, 0.000, 0.099), W at (0.000, 0.500, 0.250) and Se at (0.000, 0.000, 0.500).

As for the energy above the lowest structure with this stoichiometry: 0.0000 eV per atom. The crystal system is tetragonal. Its formation energy (no corrections) is 0.8379 eV per atom.


(24)
The following is a DFT calculation (PBE-GGA) of a relaxed structure of TcHSN2.

The space group is P4/mmm (No. 123) and the conventional cell measures 3.752, 3.752 and 4.971 Å, with angles of 90.00, 90.00 and 90.00 degrees. The inequivalent atoms are Tc at (0.000, 0.000, 0.000), H at (0.500, 0.500, 0.500), S at (0.000, 0.000, 0.500) and N at (0.000, 0.500, 0.000).

As for the energy above the lowest structure with this stoichiometry: 0.0000 eV per atom. The crystal system is tetragonal.


(25)
The following is a DFT calculation (PBE-GGA) of a relaxed structure of Cu2AgCl.

The space group is Cm (No. 8) and the conventional cell measures 7.704, 3.219 and 6.163 Å, with angles of 90.00, 98.31 and 90.00 degrees. The inequivalent atoms are Cu at (0.000, 0.000, 0.000), Cu at (0.193, 0.500, 0.857), Ag at (0.316, 0.000, 0.218) and Cl at (0.131, 0.500, 0.493).

As for the energy above the lowest structure with this stoichiometry: 0.1060 eV per atom. The crystal system is monoclinic. Its formation energy (no corrections) is 0.0910 eV per atom.